! U3Pa4Se8 | Alexandria via LeMat-Bulk | PBE | relaxed; values from VASP
! formation energy without anion corrections = -1.170 eV per atom
! V = 373.8 Å³/f.u.
! magnetic moment = 10.02 μB/cell
&SYSTEM
  ibrav = 0, nat = 15, ntyp = 3
/
ATOMIC_SPECIES
U 238.03 U.upf
Pa 231.04 Pa.upf
Se 78.96 Se.upf
CELL_PARAMETERS angstrom
5.713 -5.716 0.000
5.713 5.716 0.000
-5.675 0.000 5.722
ATOMIC_POSITIONS crystal
U 0.000 0.000 0.000
U 0.000 0.500 0.000
U 0.500 0.000 0.000
Pa 0.000 0.000 0.500
Pa 0.000 0.500 0.500
Pa 0.500 0.000 0.500
Pa 0.500 0.500 0.000
Se 0.249 0.751 0.000
Se 0.259 0.259 0.019
Se 0.260 0.260 0.499
Se 0.260 0.740 0.500
Se 0.740 0.260 0.500
Se 0.740 0.740 0.501
Se 0.741 0.741 0.981
Se 0.751 0.249 0.000